Density functional theory data (GGA+U) for an optimized crystal structure of NpNi3O6.

a = 6.1920 Å, b = 6.1920 Å, c = 6.1920 Å
α = 90.91°, β = 90.91°, γ = 90.91°
With the nearest neighbours (Å) after each atom.
Fractional coordinates of all 20 atoms:
Ni: 0.5601 0.0692 0.2474  5 O 2.02-2.25
Ni: 0.4399 0.9308 0.7526  5 O 2.02-2.25
Ni: 0.0692 0.2474 0.5601  5 O 2.02-2.25
Ni: 0.2474 0.5601 0.0692  5 O 2.02-2.25
Ni: 0.7526 0.4399 0.9308  5 O 2.02-2.25
Ni: 0.9308 0.7526 0.4399  5 O 2.02-2.25
O: 0.1846 0.5493 0.3982  3 Ni 2.05-2.25, 1 Np 2.07
O: 0.9233 0.0803 0.3143  2 Ni 2.02-2.19, 1 Np 2.07
O: 0.3982 0.1846 0.5493  3 Ni 2.05-2.25, 1 Np 2.07
O: 0.0803 0.3143 0.9233  2 Ni 2.02-2.19, 1 Np 2.07
O: 0.4507 0.6018 0.8154  3 Ni 2.05-2.25, 1 Np 2.07
O: 0.5493 0.3982 0.1846  3 Ni 2.05-2.25, 1 Np 2.07
O: 0.8154 0.4507 0.6018  3 Ni 2.05-2.25, 1 Np 2.07
O: 0.0767 0.9197 0.6857  2 Ni 2.02-2.19, 1 Np 2.07
O: 0.6857 0.0767 0.9197  2 Ni 2.02-2.19, 1 Np 2.07
O: 0.3143 0.9233 0.0803  2 Ni 2.02-2.19, 1 Np 2.07
O: 0.9197 0.6857 0.0767  2 Ni 2.02-2.19, 1 Np 2.07
O: 0.6018 0.8154 0.4507  3 Ni 2.05-2.25, 1 Np 2.07
Np: 0.0000 0.0000 0.0000  6 O 2.07
Np: 0.5000 0.5000 0.5000  6 O 2.07

Values from the calculation:
**Volume**: 237.3 Å³/cell
**Total DFT energy (no corrections)**: -6.70 eV/atom